Material: Li4Zn3Ag8
Method: DFT, PBE
State: optimized geometry

a b c (Å): 7.4323 7.4323 5.5847
angles (deg): 111.84 111.84 88.10
Last column: nearest neighbours and their distance in Å.
Fractional positions:
Li 0.0000 0.0000 0.0000  4 Ag 2.74-2.75, 2 Li 2.79
Li 0.0000 0.0000 0.5000  6 Ag 2.51-2.75, 2 Li 2.79
Li 0.0000 0.5000 0.0000  6 Ag 2.59-2.85, 2 Zn 2.79
Li 0.5000 0.0000 0.0000  6 Ag 2.59-2.85, 2 Zn 2.79
Zn 0.0000 0.5000 0.5000  6 Ag 2.58-2.87, 2 Li 2.79
Zn 0.5000 0.0000 0.5000  6 Ag 2.58-2.87, 2 Li 2.79
Zn 0.5000 0.5000 0.5000  6 Ag 2.62-2.66
Ag 0.2427 0.7573 0.5000  3 Li 2.51-2.69, 3 Zn 2.66-2.67
Ag 0.2559 0.2559 0.5137  3 Zn 2.58-2.65, 2 Li 2.70-2.75, 2 Ag 2.74-2.84
Ag 0.2588 0.2588 0.0073  4 Li 2.59-2.75, 1 Zn 2.62, 2 Ag 2.74-2.84
Ag 0.3474 0.6526 0.0000  2 Li 2.85, 2 Zn 2.87, 7 Ag 2.99-3.15
Ag 0.6526 0.3474 0.0000  2 Li 2.85, 2 Zn 2.87, 7 Ag 2.99-3.15
Ag 0.7412 0.7412 0.9927  4 Li 2.59-2.75, 1 Zn 2.62, 2 Ag 2.74-2.84
Ag 0.7441 0.7441 0.4863  3 Zn 2.58-2.65, 2 Li 2.70-2.75, 2 Ag 2.74-2.84
Ag 0.7573 0.2427 0.5000  3 Li 2.51-2.69, 3 Zn 2.66-2.67

Values from the calculation:
VASP energy in eV for the cell shown: -34.28

Material: Li5YAg2
Method: DFT, PBE
State: optimized geometry

a b c (Å): 3.3456 8.8891 10.7688
angles (deg): 90.00 90.00 90.00
Last column: nearest neighbours and their distance in Å.
Fractional positions:
Li 0.0000 0.0000 0.0000  2 Ag 2.80, 8 Li 2.93
Li 0.0000 0.2928 0.3562  3 Ag 2.79-2.80, 5 Li 2.93-3.10
Li 0.0000 0.2928 0.6438  3 Ag 2.79-2.80, 5 Li 2.93-3.10
Li 0.0000 0.7072 0.3562  3 Ag 2.79-2.80, 5 Li 2.93-3.10
Li 0.0000 0.7072 0.6438  3 Ag 2.79-2.80, 5 Li 2.93-3.10
Li 0.5000 0.2072 0.1438  3 Ag 2.79-2.80, 5 Li 2.93-3.10
Li 0.5000 0.2072 0.8562  3 Ag 2.79-2.80, 5 Li 2.93-3.10
Li 0.5000 0.5000 0.5000  2 Ag 2.80, 8 Li 2.93
Li 0.5000 0.7928 0.1438  3 Ag 2.79-2.80, 5 Li 2.93-3.10
Li 0.5000 0.7928 0.8562  3 Ag 2.79-2.80, 5 Li 2.93-3.10
Y 0.0000 0.5000 0.0000  4 Ag 3.08, 2 Y 3.35
Y 0.5000 0.0000 0.5000  4 Ag 3.08, 2 Y 3.35
Ag 0.0000 0.0000 0.2601  7 Li 2.79-2.80, 2 Y 3.08
Ag 0.0000 0.0000 0.7399  7 Li 2.79-2.80, 2 Y 3.08
Ag 0.5000 0.5000 0.2399  7 Li 2.79-2.80, 2 Y 3.08
Ag 0.5000 0.5000 0.7601  7 Li 2.79-2.80, 2 Y 3.08

Values from the calculation:
VASP energy in eV for the cell shown: -44.97

Material: SrSc4Hg5
Method: DFT, PBE
State: optimized geometry

a b c (Å): 3.6028 3.6028 18.0925
angles (deg): 90.00 90.00 90.00
Last column: nearest neighbours and their distance in Å.
Fractional positions:
Sr 0.0000 0.0000 0.0000  8 Hg 3.43, 4 Sr 3.60
Sc 0.0000 0.0000 0.2162  8 Hg 3.02-3.07
Sc 0.0000 0.0000 0.4059  8 Hg 3.06-3.07, 1 Sc 3.40
Sc 0.0000 0.0000 0.5941  8 Hg 3.06-3.07, 1 Sc 3.40
Sc 0.0000 0.0000 0.7838  8 Hg 3.02-3.07
Hg 0.5000 0.5000 0.1267  4 Sc 3.02, 1 Hg 3.33
Hg 0.5000 0.5000 0.3108  8 Sc 3.07, 2 Hg 3.33-3.42
Hg 0.5000 0.5000 0.5000  8 Sc 3.06, 2 Hg 3.42
Hg 0.5000 0.5000 0.6892  8 Sc 3.07, 2 Hg 3.33-3.42
Hg 0.5000 0.5000 0.8733  4 Sc 3.02, 1 Hg 3.33

Values from the calculation:
VASP energy in eV for the cell shown: -32.83

Material: AlNi3Pt3
Method: DFT, PBE
State: optimized geometry

a b c (Å): 5.3840 5.3840 7.0318
angles (deg): 90.00 90.00 90.26
Last column: nearest neighbours and their distance in Å.
Fractional positions:
Al 0.2322 0.2322 0.0000  2 Ni 2.53, 6 Pt 2.60-2.69
Al 0.7678 0.7678 0.0000  2 Ni 2.53, 6 Pt 2.60-2.69
Ni 0.2328 0.2328 0.5000  2 Ni 2.54, 6 Pt 2.60-2.69
Ni 0.2373 0.7627 0.0000  2 Al 2.53, 6 Pt 2.59-2.66
Ni 0.2386 0.7614 0.5000  2 Ni 2.54, 6 Pt 2.59-2.66
Ni 0.7614 0.2386 0.5000  2 Ni 2.54, 6 Pt 2.59-2.66
Ni 0.7627 0.2373 0.0000  2 Al 2.53, 6 Pt 2.59-2.66
Ni 0.7672 0.7672 0.5000  2 Ni 2.54, 6 Pt 2.60-2.69
Pt 0.0000 0.5000 0.2495  6 Ni 2.59-2.60, 2 Al 2.60, 2 Pt 2.69
Pt 0.0000 0.5000 0.7505  6 Ni 2.59-2.60, 2 Al 2.60, 2 Pt 2.69
Pt 0.5000 0.0000 0.2495  6 Ni 2.59-2.60, 2 Al 2.60, 2 Pt 2.69
Pt 0.5000 0.0000 0.7505  6 Ni 2.59-2.60, 2 Al 2.60, 2 Pt 2.69
Pt 0.5000 0.5000 0.2493  6 Ni 2.66-2.69, 2 Al 2.69, 4 Pt 2.69
Pt 0.5000 0.5000 0.7507  6 Ni 2.66-2.69, 2 Al 2.69, 4 Pt 2.69

Values from the calculation:
VASP energy in eV for the cell shown: -81.21
Offset from the most stable computed form in eV per atom: 0.012

Material: ScCdIr
Method: DFT, PBE
State: optimized geometry

a b c (Å): 4.5706 4.5706 3.0247
angles (deg): 90.00 90.00 120.00
Last column: nearest neighbours and their distance in Å.
Fractional positions:
Sc 0.0000 0.0000 0.0000  3 Ir 2.76, 3 Cd 2.91, 2 Sc 3.02
Cd 0.6667 0.3333 0.4037  3 Ir 2.82, 3 Sc 2.91, 2 Cd 3.02
Ir 0.3333 0.6667 0.7319  3 Sc 2.76, 3 Cd 2.82, 2 Ir 3.02

Values from the calculation:
VASP energy in eV for the cell shown: -17.19

Material: AcPuIn2O8
Method: DFT, PBE
State: optimized geometry

a b c (Å): 5.0772 5.0772 7.1176
angles (deg): 90.00 90.00 90.65
Last column: nearest neighbours and their distance in Å.
Fractional positions:
Ac 0.0000 0.0000 0.0000  6 O 2.35-2.50
Pu 0.0000 0.0000 0.5000  6 O 2.00-2.13
In 0.5000 0.5000 0.2537  6 O 2.20-2.30
In 0.5000 0.5000 0.7463  6 O 2.20-2.30
O 0.1908 0.1908 0.2950  1 Pu 2.00, 1 In 2.23
O 0.1908 0.1908 0.7050  1 Pu 2.00, 1 In 2.23
O 0.2946 0.7054 0.5000  1 Pu 2.13, 2 In 2.30
O 0.3250 0.6750 0.0000  2 In 2.20, 1 Ac 2.35
O 0.6750 0.3250 0.0000  2 In 2.20, 1 Ac 2.35
O 0.7054 0.2946 0.5000  1 Pu 2.13, 2 In 2.30
O 0.8092 0.8092 0.2950  1 Pu 2.00, 1 In 2.23
O 0.8092 0.8092 0.7050  1 Pu 2.00, 1 In 2.23

Values from the calculation:
VASP energy in eV for the cell shown: -89.16

Material: LuNpS2
Method: DFT, PBE
State: optimized geometry

a b c (Å): 3.8544 3.8544 18.9632
angles (deg): 90.00 90.00 120.00
Last column: nearest neighbours and their distance in Å.
Fractional positions:
Lu 0.0000 0.0000 0.0000  6 S 2.69
Lu 0.3333 0.6667 0.6667  6 S 2.69
Lu 0.6667 0.3333 0.3333  6 S 2.69
Np 0.0000 0.0000 0.5000  6 S 2.77
Np 0.3333 0.6667 0.1667  6 S 2.77
Np 0.6667 0.3333 0.8333  6 S 2.77
S 0.0000 0.0000 0.2532  3 Lu 2.69, 3 Np 2.77
S 0.0000 0.0000 0.7468  3 Lu 2.69, 3 Np 2.77
S 0.3333 0.6667 0.4134  3 Lu 2.69, 3 Np 2.77
S 0.3333 0.6667 0.9199  3 Lu 2.69, 3 Np 2.77
S 0.6667 0.3333 0.0801  3 Lu 2.69, 3 Np 2.77
S 0.6667 0.3333 0.5866  3 Lu 2.69, 3 Np 2.77

Values from the calculation:
VASP energy in eV for the cell shown: -96.86

Material: BaCdC
Method: DFT, PBE
State: optimized geometry

a b c (Å): 7.4170 4.0213 9.9354
angles (deg): 90.00 90.00 90.00
Last column: nearest neighbours and their distance in Å.
Fractional positions:
Ba 0.0086 0.2500 0.1750  3 C 2.96-2.99, 1 Cd 3.26
Ba 0.4914 0.7500 0.6750  3 C 2.96-2.99, 1 Cd 3.26
Ba 0.5086 0.2500 0.3250  3 C 2.96-2.99, 1 Cd 3.26
Ba 0.9914 0.7500 0.8250  3 C 2.96-2.99, 1 Cd 3.26
Cd 0.1372 0.7500 0.4804  2 C 2.29
Cd 0.3628 0.2500 0.9804  2 C 2.29
Cd 0.6372 0.7500 0.0196  2 C 2.29
Cd 0.8628 0.2500 0.5196  2 C 2.29
C 0.2479 0.2500 0.5542  2 Cd 2.29
C 0.2521 0.7500 0.0542  2 Cd 2.29
C 0.7479 0.2500 0.9458  2 Cd 2.29
C 0.7521 0.7500 0.4458  2 Cd 2.29

Values from the calculation:
VASP energy in eV for the cell shown: -40.13
Offset from the most stable computed form in eV per atom: 0.726

Material: Rb2NaCu2Cl6
Method: DFT, PBE
State: optimized geometry

a b c (Å): 7.3422 7.3422 8.1130
angles (deg): 114.05 114.05 58.22
Last column: nearest neighbours and their distance in Å.
Fractional positions:
Rb 0.2101 0.2101 0.1930  5 Cl 3.37-3.48
Rb 0.7899 0.7899 0.8070  5 Cl 3.37-3.48
Na 0.0000 0.0000 0.5000  6 Cl 2.82-2.88
Cu 0.4420 0.4420 0.7461  3 Cl 2.18-2.21
Cu 0.5580 0.5580 0.2539  3 Cl 2.18-2.21
Cl 0.1954 0.6956 0.2023  1 Cu 2.21
Cl 0.2510 0.2510 0.6341  1 Cu 2.18
Cl 0.3044 0.8046 0.7977  1 Cu 2.21
Cl 0.6956 0.1954 0.2023  1 Cu 2.21
Cl 0.7490 0.7490 0.3659  1 Cu 2.18
Cl 0.8046 0.3044 0.7977  1 Cu 2.21

Values from the calculation:
VASP energy in eV for the cell shown: -36.48

Material: LiMgNpO6
Method: DFT, PBE
State: optimized geometry

a b c (Å): 5.1752 5.1752 9.1787
angles (deg): 90.00 90.00 120.00
Last column: nearest neighbours and their distance in Å.
Fractional positions:
Li 0.3333 0.6667 0.2500  6 O 2.10
Li 0.6667 0.3333 0.7500  6 O 2.10
Mg 0.0000 0.0000 0.0000  6 O 2.13
Mg 0.0000 0.0000 0.5000  6 O 2.13
Np 0.3333 0.6667 0.7500  6 O 1.97
Np 0.6667 0.3333 0.2500  6 O 1.97
O 0.0191 0.3482 0.6307  1 Np 1.97, 1 Li 2.10, 1 Mg 2.13
O 0.0191 0.6709 0.8693  1 Np 1.97, 1 Li 2.10, 1 Mg 2.13
O 0.3291 0.3482 0.8693  1 Np 1.97, 1 Li 2.10, 1 Mg 2.13
O 0.3291 0.9809 0.6307  1 Np 1.97, 1 Li 2.10, 1 Mg 2.13
O 0.3482 0.0191 0.1307  1 Np 1.97, 1 Li 2.10, 1 Mg 2.13
O 0.3482 0.3291 0.3693  1 Np 1.97, 1 Li 2.10, 1 Mg 2.13
O 0.6518 0.6709 0.6307  1 Np 1.97, 1 Li 2.10, 1 Mg 2.13
O 0.6518 0.9809 0.8693  1 Np 1.97, 1 Li 2.10, 1 Mg 2.13
O 0.6709 0.0191 0.3693  1 Np 1.97, 1 Li 2.10, 1 Mg 2.13
O 0.6709 0.6518 0.1307  1 Np 1.97, 1 Li 2.10, 1 Mg 2.13
O 0.9809 0.3291 0.1307  1 Np 1.97, 1 Li 2.10, 1 Mg 2.13
O 0.9809 0.6518 0.3693  1 Np 1.97, 1 Li 2.10, 1 Mg 2.13

Values from the calculation:
VASP energy in eV for the cell shown: -127.93

Material: LiLa4Pu3S8
Method: DFT, PBE
State: optimized geometry

a b c (Å): 8.1001 8.1001 8.1001
angles (deg): 60.15 60.15 60.15
Last column: nearest neighbours and their distance in Å.
Fractional positions:
Li 0.0000 0.0000 0.0000  6 S 2.80
La 0.0000 0.0000 0.5000  6 S 2.92-2.93
La 0.0000 0.5000 0.0000  6 S 2.92-2.93
La 0.5000 0.0000 0.0000  6 S 2.92-2.93
La 0.5000 0.5000 0.5000  6 S 2.94
Pu 0.0000 0.5000 0.5000  6 S 2.81-2.82
Pu 0.5000 0.0000 0.5000  6 S 2.81-2.82
Pu 0.5000 0.5000 0.0000  6 S 2.81-2.82
S 0.2437 0.2437 0.7473  1 Li 2.80, 2 Pu 2.82, 3 La 2.92-2.94
S 0.2437 0.7473 0.2437  1 Li 2.80, 2 Pu 2.82, 3 La 2.92-2.94
S 0.2527 0.7563 0.7563  1 Li 2.80, 2 Pu 2.82, 3 La 2.92-2.94
S 0.2552 0.2552 0.2552  3 Pu 2.81, 3 La 2.93
S 0.7448 0.7448 0.7448  3 Pu 2.81, 3 La 2.93
S 0.7473 0.2437 0.2437  1 Li 2.80, 2 Pu 2.82, 3 La 2.92-2.94
S 0.7563 0.2527 0.7563  1 Li 2.80, 2 Pu 2.82, 3 La 2.92-2.94
S 0.7563 0.7563 0.2527  1 Li 2.80, 2 Pu 2.82, 3 La 2.92-2.94

Values from the calculation:
VASP energy in eV for the cell shown: -128.36

Material: CaTa4Cr
Method: DFT, PBE
State: optimized geometry

a b c (Å): 5.6067 5.6067 5.6067
angles (deg): 60.00 60.00 60.00
Last column: nearest neighbours and their distance in Å.
Fractional positions:
Ca 0.0000 0.0000 0.0000  12 Ta 3.29, 4 Cr 3.43
Ta 0.3743 0.3743 0.3743  6 Ta 2.79-2.82
Ta 0.3743 0.3743 0.8772  6 Ta 2.79-2.82
Ta 0.3743 0.8772 0.3743  6 Ta 2.79-2.82
Ta 0.8772 0.3743 0.3743  6 Ta 2.79-2.82
Cr 0.7500 0.7500 0.7500  12 Ta 3.29, 4 Ca 3.43

Values from the calculation:
VASP energy in eV for the cell shown: -55.15

Repeat the sixth record exactly.
Material: AcPuIn2O8
Method: DFT, PBE
State: optimized geometry

a b c (Å): 5.0772 5.0772 7.1176
angles (deg): 90.00 90.00 90.65
Last column: nearest neighbours and their distance in Å.
Fractional positions:
Ac 0.0000 0.0000 0.0000  6 O 2.35-2.50
Pu 0.0000 0.0000 0.5000  6 O 2.00-2.13
In 0.5000 0.5000 0.2537  6 O 2.20-2.30
In 0.5000 0.5000 0.7463  6 O 2.20-2.30
O 0.1908 0.1908 0.2950  1 Pu 2.00, 1 In 2.23
O 0.1908 0.1908 0.7050  1 Pu 2.00, 1 In 2.23
O 0.2946 0.7054 0.5000  1 Pu 2.13, 2 In 2.30
O 0.3250 0.6750 0.0000  2 In 2.20, 1 Ac 2.35
O 0.6750 0.3250 0.0000  2 In 2.20, 1 Ac 2.35
O 0.7054 0.2946 0.5000  1 Pu 2.13, 2 In 2.30
O 0.8092 0.8092 0.2950  1 Pu 2.00, 1 In 2.23
O 0.8092 0.8092 0.7050  1 Pu 2.00, 1 In 2.23

Values from the calculation:
VASP energy in eV for the cell shown: -89.16

The lowest VASP energy belongs to which entry?
LiLa4Pu3S8